# 1
Below is an optimized crystal structure of KAgGeO3, with properties calculated at the PBE level.

Calculated values
As for the space-group type: No. 12. The formation energy from raw total energies comes out at -1251 meV per atom.

Structure (extended XYZ):
```
12
Lattice="6.604 0.793 0.589 3.795 5.462 0.589 3.605 2.168 6.420" Properties=species:S:1:pos:R:3 pbc="T T T"
K 10.243 6.161 7.068
K 3.761 2.262 0.529
Ag 6.289 5.397 3.799
Ag 7.715 3.027 3.799
Ge 4.617 2.777 4.005
Ge 9.387 5.646 3.592
O 5.586 3.360 5.347
O 8.053 6.398 4.820
O 9.425 4.116 4.820
O 4.578 4.308 2.778
O 5.951 2.026 2.778
O 8.417 5.063 2.251
```


# 2
Below is an optimized crystal structure of K2AgGeO4, with properties calculated at the PBE level.

Calculated values
The calculation puts the density of states at the Fermi level at 0.43 states/eV per cell. As for the space-group type: No. 82. The formation energy from raw total energies comes out at -1284 meV per atom.

Structure (extended XYZ):
```
8
Lattice="-0.126 -4.987 2.546 1.463 -0.345 -5.396 3.882 3.433 2.126" Properties=species:S:1:pos:R:3 pbc="T T T"
K 2.005 -1.894 -2.242
K 0.000 0.000 0.000
Ag 3.214 -0.005 1.518
Ge 2.672 1.544 -1.635
O 2.524 -1.745 0.337
O 2.446 1.550 0.144
O 1.238 -4.337 0.071
O 4.229 0.732 -1.999
```


# 3
Below is an optimized crystal structure of KAg2GeO4, with properties calculated at the PBE level.

Calculated values
The calculation puts the density of states at the Fermi level at 4.28 states/eV per cell. As for the space-group type: No. 23. The formation energy from raw total energies comes out at -997 meV per atom.

Structure (extended XYZ):
```
8
Lattice="-1.873 -5.326 -1.570 2.541 -4.565 1.517 -4.053 -2.557 2.575" Properties=species:S:1:pos:R:3 pbc="T T T"
K -0.937 -2.663 -0.785
Ag -2.156 -3.135 2.270
Ag 0.644 -3.987 1.821
Ge -1.693 -6.224 1.261
O -0.315 -5.898 2.368
O -1.101 -7.150 -0.161
O -2.945 -7.177 2.130
O -2.410 -4.672 0.708
```


# 4
Below is an optimized crystal structure of KAgGeOs2, with properties calculated at the PBE level.

Calculated values
The calculation puts the density of states at the Fermi level at 8.26 states/eV per cell. As for the space-group type: No. 123. The energy of formation is 207 kJ/mol of atoms.

Structure (extended XYZ):
```
5
Lattice="-1.043 2.743 4.237 -4.830 0.712 -1.650 -1.379 -4.055 2.286" Properties=species:S:1:pos:R:3 pbc="T T T"
Ge -0.689 -2.028 1.143
Os -2.415 0.356 -0.825
Os -0.522 1.372 2.118
K -3.626 -0.300 2.436
Ag 0.000 0.000 0.000
```


# 5
Below is an optimized crystal structure of KAg2GePt, with properties calculated at the PBE level.

Calculated values
The calculation puts the density of states at the Fermi level at 1.70 states/eV per cell. As for the space-group type: No. 123. The energy of formation is -5 kJ/mol of atoms.

Structure (extended XYZ):
```
5
Lattice="-4.772 -2.381 0.565 2.332 -4.800 -0.532 0.643 -0.197 4.595" Properties=species:S:1:pos:R:3 pbc="T T T"
K -0.899 -3.689 2.314
Ge 0.321 -0.099 2.298
Ag 1.166 -2.400 -0.266
Ag -2.386 -1.190 0.283
Pt 0.000 0.000 0.000
```


# 6
Below is an optimized crystal structure of K2AgGeSb, with properties calculated at the PBE level.

Calculated values
The calculation puts the density of states at the Fermi level at 2.32 states/eV per cell. As for the space-group type: No. 123. The formation energy from raw total energies comes out at 197 meV per atom.

Structure (extended XYZ):
```
5
Lattice="-0.866 5.028 3.296 1.478 -2.352 3.976 5.720 1.715 -1.112" Properties=species:S:1:pos:R:3 pbc="T T T"
Sb 3.166 2.196 3.080
Ge 0.739 -1.176 1.988
K 2.860 0.857 -0.556
K -0.433 2.514 1.648
Ag 0.000 0.000 0.000
```


# 7
Below is an optimized crystal structure of KAg2GeSe4, with properties calculated at the PBE level.

Calculated values
The calculation puts the density of states at the Fermi level at 3.29 states/eV per cell. As for the space-group type: No. 121. The formation energy from raw total energies comes out at -413 meV per atom.

Structure (extended XYZ):
```
8
Lattice="6.554 0.629 0.000 -1.716 6.356 0.000 -2.419 -3.493 5.030" Properties=species:S:1:pos:R:3 pbc="T T T"
K 2.419 3.493 0.000
Ag 3.277 0.315 2.515
Ag -0.858 3.178 2.515
Ge 0.000 0.000 0.000
Se 1.652 2.385 3.053
Se 5.696 2.863 0.000
Se 0.677 6.339 0.000
Se -0.767 -1.108 1.977
```


# 8
Below is an optimized crystal structure of KAgGeSe3, with properties calculated at the PBE level.

Calculated values
As for the space-group type: No. 12. The formation energy from raw total energies comes out at -431 meV per atom.

Structure (extended XYZ):
```
12
Lattice="7.163 -0.273 0.152 3.115 6.456 0.152 2.990 1.799 8.210" Properties=species:S:1:pos:R:3 pbc="T T T"
K 9.511 5.721 6.650
K 3.757 2.260 1.865
Ag 5.758 5.446 4.257
Ag 7.509 2.535 4.257
Ge 2.789 1.678 6.079
Ge 10.479 6.303 2.436
Se 4.551 2.738 5.128
Se 5.925 5.869 6.762
Se 7.961 2.484 6.762
Se 5.307 5.497 1.753
Se 7.343 2.112 1.753
Se 8.716 5.243 3.386
```